1.
DFT (PBE) results for crystalline Np2Be3Ge4Rh at its relaxed geometry.

Structure (POSCAR):
```
Np2Be3Ge4Rh
1.0
4.048 0.000 0.000
0.000 4.048 0.000
0.000 0.000 9.760
Np Be Ge Rh
2 3 4 1
direct
0.500 0.000 0.243 Np
0.000 0.500 0.757 Np
0.000 0.500 0.127 Be
0.000 0.000 0.500 Be
0.500 0.000 0.873 Be
0.500 0.000 0.643 Ge
0.000 0.000 0.000 Ge
0.000 0.500 0.357 Ge
0.500 0.500 0.000 Ge
0.500 0.500 0.500 Rh
```

The energy relative to the elements comes out at -198 meV/atom. As for the crystal system: tetragonal.

=====

2.
DFT (PBE) results for crystalline LiPrYRu at its relaxed geometry.

Structure (POSCAR):
```
LiPrYRu
1.0
5.021 0.000 0.000
2.511 4.348 0.000
2.511 1.449 4.100
Pr Li Ru Y
1 1 1 1
direct
0.000 0.000 0.000 Pr
0.250 0.250 0.250 Li
0.750 0.750 0.750 Ru
0.500 0.500 0.500 Y
```

The energy relative to the elements comes out at -180 meV/atom. As for the crystal system: cubic.

=====

3.
DFT (PBE) results for crystalline Tb3SbH at its relaxed geometry.

Structure (POSCAR):
```
Tb3SbH
1.0
3.955 0.000 0.000
0.000 6.512 -0.034
0.000 -1.681 9.363
Tb Sb H
6 2 2
direct
0.750 0.233 0.913 Tb
0.750 0.591 0.351 Tb
0.250 0.904 0.624 Tb
0.250 0.409 0.649 Tb
0.250 0.767 0.087 Tb
0.750 0.096 0.376 Tb
0.750 0.719 0.837 Sb
0.250 0.281 0.163 Sb
0.750 0.173 0.648 H
0.250 0.827 0.352 H
```

The value obtained for the relative energy among the computed polymorphs is 0 meV per atom. As for the crystal system: monoclinic.

=====

4.
DFT (PBE) results for crystalline LiBeSnMo2 at its relaxed geometry.

Structure (POSCAR):
```
LiBeSnMo2
1.0
-1.698 -2.838 2.762
0.135 -3.177 -3.181
3.958 -1.118 1.285
Li Mo Be Sn
1 2 1 1
direct
0.500 0.500 0.500 Li
0.500 0.000 0.000 Mo
0.000 0.000 0.500 Mo
0.000 0.000 0.000 Be
0.000 0.500 0.000 Sn
```

The energy relative to the elements comes out at 758 meV/atom. As for the crystal system: tetragonal.

=====

5.
DFT (PBE) results for crystalline CoPt7 at its relaxed geometry.

Structure (POSCAR):
```
CoPt7
1.0
-0.067 5.379 1.416
-2.899 1.670 4.443
2.661 1.704 4.577
Pt Co
7 1
direct
0.000 0.000 0.500 Pt
0.500 0.500 0.000 Pt
0.500 0.500 0.500 Pt
0.500 0.000 0.000 Pt
0.000 0.500 0.500 Pt
0.500 0.000 0.500 Pt
0.000 0.500 0.000 Pt
0.000 0.000 0.000 Co
```

The energy relative to the elements comes out at -27 meV/atom. As for the crystal system: cubic.

=====

6.
DFT (PBE) results for crystalline MnBRh3 at its relaxed geometry.

Structure (POSCAR):
```
MnBRh3
1.0
5.228 0.000 0.000
0.000 7.432 0.849
0.000 -2.942 6.362
Mn B Rh
4 4 12
direct
0.799 0.576 0.416 Mn
0.201 0.424 0.584 Mn
0.701 0.076 0.916 Mn
0.299 0.924 0.084 Mn
0.117 0.442 0.188 B
0.383 0.942 0.688 B
0.883 0.558 0.812 B
0.617 0.058 0.312 B
0.310 0.677 0.386 Rh
0.050 0.795 0.746 Rh
0.450 0.295 0.246 Rh
0.550 0.705 0.754 Rh
0.764 0.438 0.032 Rh
0.810 0.823 0.114 Rh
0.950 0.205 0.254 Rh
0.236 0.562 0.968 Rh
0.736 0.938 0.532 Rh
0.190 0.177 0.886 Rh
0.690 0.323 0.614 Rh
0.264 0.062 0.468 Rh
```

The energy relative to the elements comes out at -125 meV/atom. As for the crystal system: monoclinic.